(1)
Entry from Alexandria via LeMat-Bulk: an optimized crystal structure of KCa2Au (PBE).

abc: 7.2350 11.3963 3.8940
angles: 90.00 118.63 90.00
Space group C2/m (No. 12)
Unique sites:
K 0.0000 0.0000 0.0000
Ca 0.2500 0.2500 0.5000
Au 0.0000 0.5000 0.0000

Results
Magnetic moment: 0.0 μB/cell
V: 35.23 Å³ per atom
Final energy: -2.06 eV per atom
Energy relative to the elements: 0.039 eV per atom
Energy relative to the lowest polymorph listed for this composition: 398 meV/atom

(2)
Entry from Alexandria via LeMat-Bulk: an optimized crystal structure of Rb2BaCdF6 (PBE).

abc: 9.5885 9.5885 9.5885
angles: 90.00 90.00 90.00
Space group Fm-3m (No. 225)
Unique sites:
Rb 0.2500 0.2500 0.2500
Ba 0.0000 0.0000 0.0000
Cd 0.0000 0.0000 0.5000
F 0.0000 0.0000 0.2648

Results
Magnetic moment: 0.0 μB/cell
V: 22.04 Å³ per atom
Final energy: -4.46 eV per atom
Uncorrected formation energy: -2.858 eV per atom
Energy relative to the lowest polymorph listed for this composition: 34 meV/atom

(3)
Entry from Alexandria via LeMat-Bulk: an optimized crystal structure of Al2CuPd8 (PBE).

abc: 4.0886 6.9935 11.6722
angles: 90.00 90.00 90.00
Space group Immm (No. 71)
Unique sites:
Al 0.0000 0.0000 0.1974
Cu 0.0000 0.0000 0.5000
Pd 0.0000 0.1914 0.0000
Pd 0.0000 0.2805 0.3413
Pd 0.0000 0.5000 0.1448

Results
Magnetic moment: 0.0 μB/cell
V: 15.17 Å³ per atom
Final energy: -5.29 eV per atom
Energy relative to the elements: -0.458 eV per atom
Energy relative to the lowest polymorph listed for this composition: 17 meV/atom

(4)
Entry from Alexandria via LeMat-Bulk: an optimized crystal structure of La2Al3AgPt4 (PBE).

abc: 4.3257 4.3257 10.7837
angles: 90.00 90.00 90.00
Space group P-4m2 (No. 115)
Unique sites:
La 0.0000 0.5000 0.2485
Al 0.0000 0.5000 0.8820
Al 0.5000 0.5000 0.5000
Ag 0.0000 0.0000 0.5000
Pt 0.0000 0.0000 0.0000
Pt 0.0000 0.5000 0.6527
Pt 0.5000 0.5000 0.0000

Results
Magnetic moment: 0.0 μB/cell
V: 20.18 Å³ per atom
Final energy: -5.79 eV per atom
Energy relative to the elements: -0.976 eV per atom

(5)
Entry from Alexandria via LeMat-Bulk: an optimized crystal structure of Ni2BRu2 (PBE).

abc: 5.2078 5.2078 4.2437
angles: 90.00 90.00 90.00
Space group P4/mbm (No. 127)
Unique sites:
Ni 0.1578 0.3422 0.0000
B 0.0000 0.0000 0.0000
Ru 0.1688 0.6688 0.5000

Results
Magnetic moment: 0.0 μB/cell
V: 11.51 Å³ per atom
Final energy: -7.14 eV per atom
Energy relative to the elements: 0.213 eV per atom
Energy relative to the lowest polymorph listed for this composition: 0 meV/atom

(6)
Entry from Alexandria via LeMat-Bulk: an optimized crystal structure of LuZnCoAu (PBE).

abc: 6.4826 6.4826 6.4826
angles: 90.00 90.00 90.00
Space group F-43m (No. 216)
Unique sites:
Lu 0.0000 0.0000 0.0000
Zn 0.0000 0.0000 0.5000
Co 0.2500 0.2500 0.2500
Au 0.2500 0.2500 0.7500

Results
Magnetic moment: 3.4 μB/cell
V: 17.03 Å³ per atom
Final energy: -4.33 eV per atom
Energy relative to the elements: -0.287 eV per atom

(7)
Entry from Alexandria via LeMat-Bulk: an optimized crystal structure of Na2H6Pt (PBE).

abc: 7.2367 7.2367 7.2367
angles: 90.00 90.00 90.00
Space group Fm-3m (No. 225)
Unique sites:
Na 0.2500 0.2500 0.2500
H 0.0000 0.0000 0.2283
Pt 0.0000 0.0000 0.0000

Results
Magnetic moment: 0.0 μB/cell
V: 10.53 Å³ per atom
Final energy: -3.57 eV per atom
Energy relative to the lowest polymorph listed for this composition: 0 meV/atom

(8)
Entry from Alexandria via LeMat-Bulk: an optimized crystal structure of CaAlCuHg (PBE).

abc: 6.8296 6.8296 6.8296
angles: 90.00 90.00 90.00
Space group F-43m (No. 216)
Unique sites:
Ca 0.0000 0.0000 0.0000
Al 0.0000 0.0000 0.5000
Cu 0.2500 0.2500 0.2500
Hg 0.2500 0.2500 0.7500

Results
Magnetic moment: 0.0 μB/cell
V: 19.91 Å³ per atom
Final energy: -2.69 eV per atom
Energy relative to the elements: -0.155 eV per atom

(9)
Entry from Alexandria via LeMat-Bulk: an optimized crystal structure of Sr3SBr (PBE).

abc: 5.8708 5.8708 5.8708
angles: 90.00 90.00 90.00
Space group Pm-3m (No. 221)
Unique sites:
Sr 0.0000 0.0000 0.5000
S 0.0000 0.0000 0.0000
Br 0.5000 0.5000 0.5000

Results
Magnetic moment: 1.3 μB/cell
V: 40.47 Å³ per atom
Final energy: -3.11 eV per atom
Uncorrected formation energy: -0.941 eV per atom
Energy relative to the lowest polymorph listed for this composition: 0 meV/atom

(10)
Entry from Alexandria via LeMat-Bulk: an optimized crystal structure of K2Te3Pb2 (PBE).

abc: 4.7452 8.1867 8.8639
angles: 76.56 89.95 73.15
Space group P-1 (No. 2)
Unique sites:
K 0.1425 0.2141 0.3542
Te 0.0000 0.5000 0.0000
Te 0.2232 0.0543 0.7585
Pb 0.3656 0.7684 0.0670

Results
Magnetic moment: 0.0 μB/cell
V: 45.67 Å³ per atom
Final energy: -3.36 eV per atom
Uncorrected formation energy: -0.640 eV per atom
Energy relative to the lowest polymorph listed for this composition: 15 meV/atom

(11)
Entry from Alexandria via LeMat-Bulk: an optimized crystal structure of NpCo2Ru (PBE).

abc: 3.8381 3.8381 3.8749
angles: 90.00 90.00 90.00
Space group P4/mmm (No. 123)
Unique sites:
Np 0.0000 0.0000 0.0000
Co 0.0000 0.5000 0.5000
Ru 0.5000 0.5000 0.0000

Results
Magnetic moment: 0.4 μB/cell
V: 14.27 Å³ per atom
Final energy: -9.20 eV per atom
Energy relative to the elements: -0.091 eV per atom

(12)
Entry from Alexandria via LeMat-Bulk: an optimized crystal structure of Be2RhO (PBE).

abc: 4.9069 4.9069 6.7390
angles: 90.00 90.00 90.00
Space group I-42d (No. 122)
Unique sites:
Be 0.1359 0.7500 0.1250
Rh 0.0000 0.0000 0.5000
O 0.0000 0.0000 0.0000

Results
Magnetic moment: 0.0 μB/cell
V: 10.14 Å³ per atom
Final energy: -5.89 eV per atom
Uncorrected formation energy: -0.946 eV per atom

- Among the records above, which one has the highest V?
  K2Te3Pb2